The following is a GGA-PBE calculation of crystalline ScTc2Hg at its relaxed geometry, from the Alexandria database.

Values from the calculation:
- Volume: 17.61 Å³ per atom
- M_tot: 0.01 Bohr magnetons per cell
- DFT formation energy: 0.4292 eV per atom
- Calculated total energy: -6.412 eV per atom
- SG: R-3m, No. 166

POSCAR file:
```
ScTc2Hg
1.0
1.4808 0.8549 9.2758
-1.4808 0.8549 9.2758
0.0000 -1.7099 9.2758
Sc Tc Hg
1 2 1
direct
0.0000 0.0000 0.0000 Sc
0.2522 0.2522 0.2522 Tc
0.7478 0.7478 0.7478 Tc
0.5000 0.5000 0.5000 Hg
```

The following is a GGA-PBE calculation of crystalline Pm4Bi2Pb at its relaxed geometry, from the Alexandria database.

Values from the calculation:
- Volume: 35.69 Å³ per atom
- M_tot: 0.00 Bohr magnetons per cell
- DFT formation energy: -0.5099 eV per atom
- Calculated total energy: -4.863 eV per atom
- SG: C2/m, No. 12

POSCAR file:
```
Pm4Bi2Pb
1.0
7.9220 -2.3042 0.0000
7.9220 2.3042 0.0000
-3.6951 0.0000 6.8431
Pm Bi Pb
4 2 1
direct
0.1175 0.1175 0.2601 Pm
0.3816 0.3816 0.1905 Pm
0.6184 0.6184 0.8095 Pm
0.8825 0.8825 0.7399 Pm
0.2426 0.2426 0.7323 Bi
0.7574 0.7574 0.2677 Bi
0.0000 0.0000 0.5000 Pb
```

The following is a GGA-PBE calculation of crystalline InCu2W at its relaxed geometry, from the Alexandria database.

Values from the calculation:
- Volume: 15.61 Å³ per atom
- M_tot: 0.00 Bohr magnetons per cell
- DFT formation energy: 0.4485 eV per atom
- Calculated total energy: -5.523 eV per atom
- SG: C2/m, No. 12

POSCAR file:
```
InCu2W
1.0
2.7819 -4.4157 0.0000
2.7819 4.4157 0.0000
-0.9348 0.0000 2.5411
In Cu W
1 2 1
direct
0.0000 0.0000 0.0000 In
0.0000 0.5000 0.5000 Cu
0.5000 0.0000 0.5000 Cu
0.5000 0.5000 0.0000 W
```

The following is a GGA-PBE calculation of crystalline Sm7Bi2Te2 at its relaxed geometry, from the Alexandria database.

Values from the calculation:
- Volume: 34.13 Å³ per atom
- M_tot: 0.00 Bohr magnetons per cell
- Formation energy from raw total energies: -0.534 eV per atom
- Calculated total energy: -4.814 eV per atom
- SG: Cmmm, No. 65

POSCAR file:
```
Sm7Bi2Te2
1.0
4.7752 -5.6197 0.0000
4.7752 5.6197 0.0000
0.0000 0.0000 6.9950
Sm Bi Te
7 2 2
direct
0.0000 0.0000 0.0000 Sm
0.0000 0.5000 0.2651 Sm
0.0000 0.5000 0.7349 Sm
0.5000 0.0000 0.2651 Sm
0.5000 0.0000 0.7349 Sm
0.5000 0.5000 0.2581 Sm
0.5000 0.5000 0.7419 Sm
0.1936 0.1936 0.5000 Bi
0.8064 0.8064 0.5000 Bi
0.2756 0.7244 0.0000 Te
0.7244 0.2756 0.0000 Te
```

The following is a GGA-PBE calculation of crystalline PmDy5HoTm2 at its relaxed geometry, from the Alexandria database.

Values from the calculation:
- Volume: 32.19 Å³ per atom
- M_tot: 0.00 Bohr magnetons per cell
- DFT formation energy: 0.1613 eV per atom
- Calculated total energy: -4.426 eV per atom
- SG: Cmc2_1, No. 36

POSCAR file:
```
PmDy5HoTm2
1.0
2.7892 -9.8861 0.0000
2.7892 9.8861 0.0000
0.0000 0.0000 10.5059
Pm Dy Ho Tm
2 10 2 4
direct
0.0848 0.9152 0.5000 Pm
0.9152 0.0848 0.0000 Pm
0.0215 0.9785 0.7858 Dy
0.1121 0.8879 0.0714 Dy
0.2013 0.7987 0.7569 Dy
0.2189 0.7811 0.3606 Dy
0.4823 0.5177 0.0719 Dy
0.5177 0.4823 0.5719 Dy
0.7811 0.2189 0.8606 Dy
0.7987 0.2013 0.2569 Dy
0.8879 0.1121 0.5714 Dy
0.9785 0.0215 0.2858 Dy
0.3008 0.6992 0.0604 Ho
0.6992 0.3008 0.5604 Ho
0.3863 0.6137 0.3664 Tm
0.3892 0.6108 0.7844 Tm
0.6108 0.3892 0.2844 Tm
0.6137 0.3863 0.8664 Tm
```

The following is a GGA-PBE calculation of crystalline Pr2GaGe4Rh3 at its relaxed geometry, from the Alexandria database.

Values from the calculation:
- Volume: 19.06 Å³ per atom
- M_tot: 0.00 Bohr magnetons per cell
- DFT formation energy: -0.7624 eV per atom
- Calculated total energy: -6.073 eV per atom
- SG: P-4m2, No. 115

POSCAR file:
```
Pr2GaGe4Rh3
1.0
4.3086 0.0000 0.0000
0.0000 4.3086 0.0000
0.0000 0.0000 10.2660
Pr Ga Ge Rh
2 1 4 3
direct
0.0000 0.5000 0.2425 Pr
0.5000 0.0000 0.7575 Pr
0.0000 0.0000 0.5000 Ga
0.0000 0.0000 0.0000 Ge
0.0000 0.5000 0.6429 Ge
0.5000 0.0000 0.3571 Ge
0.5000 0.5000 0.0000 Ge
0.0000 0.5000 0.8801 Rh
0.5000 0.0000 0.1199 Rh
0.5000 0.5000 0.5000 Rh
```

The following is a GGA-PBE calculation of crystalline RbCoSn2 at its relaxed geometry, from the Alexandria database.

Values from the calculation:
- Volume: 38.12 Å³ per atom
- M_tot: 0.00 Bohr magnetons per cell
- DFT formation energy: 0.0602 eV per atom
- ΔE to the lowest computed polymorph: 0.00 eV per formula unit
- Calculated total energy: -3.960 eV per atom
- SG: I4_1/amd, No. 141

POSCAR file:
```
RbCoSn2
1.0
-3.4177 3.4177 6.5272
3.4177 -3.4177 6.5272
3.4177 3.4177 -6.5272
Rb Co Sn
2 2 4
direct
0.3750 0.6250 0.7500 Rb
0.6250 0.3750 0.2500 Rb
0.1250 0.8750 0.2500 Co
0.8750 0.1250 0.7500 Co
0.0000 0.0000 0.0000 Sn
0.0000 0.0000 0.5000 Sn
0.0000 0.5000 0.0000 Sn
0.5000 0.0000 0.5000 Sn
```

The following is a GGA-PBE calculation of crystalline CdGaSn at its relaxed geometry, from the Alexandria database.

Values from the calculation:
- Volume: 24.15 Å³ per atom
- M_tot: 0.00 Bohr magnetons per cell
- DFT formation energy: 0.0321 eV per atom
- ΔE to the lowest computed polymorph: 0.00 eV per formula unit
- Calculated total energy: -2.616 eV per atom
- SG: Cmcm, No. 63

POSCAR file:
```
CdGaSn
1.0
1.5650 -12.9833 0.0000
1.5650 12.9833 0.0000
0.0000 0.0000 3.5661
Cd Ga Sn
2 2 2
direct
0.2115 0.7885 0.7500 Cd
0.7885 0.2115 0.2500 Cd
0.4598 0.5402 0.2500 Ga
0.5402 0.4598 0.7500 Ga
0.1137 0.8863 0.2500 Sn
0.8863 0.1137 0.7500 Sn
```

The following is a GGA-PBE calculation of crystalline FeTc2Os at its relaxed geometry, from the Alexandria database.

Values from the calculation:
- Volume: 13.79 Å³ per atom
- M_tot: 1.46 Bohr magnetons per cell
- DFT formation energy: 0.1155 eV per atom
- ΔE to the lowest computed polymorph: 0.15 eV per formula unit
- Calculated total energy: -9.991 eV per atom
- SG: R3m, No. 160

POSCAR file:
```
FeTc2Os
1.0
1.3498 0.7793 8.7422
-1.3498 0.7793 8.7422
0.0000 -1.5586 8.7422
Fe Tc Os
1 2 1
direct
0.0000 0.0000 0.0000 Fe
0.5001 0.5001 0.5001 Tc
0.7477 0.7477 0.7477 Tc
0.2535 0.2535 0.2535 Os
```

The following is a GGA-PBE calculation of crystalline Ba4TiNb9O18 at its relaxed geometry, from the Alexandria database.

Values from the calculation:
- Volume: 13.71 Å³ per atom
- M_tot: 0.00 Bohr magnetons per cell
- Formation energy from raw total energies: -2.533 eV per atom
- Calculated total energy: -8.641 eV per atom
- SG: P4/mmm, No. 123

POSCAR file:
```
Ba4TiNb9O18
1.0
4.2121 0.0000 0.0000
0.0000 4.2121 0.0000
0.0000 0.0000 24.7345
Ba Ti Nb O
4 1 9 18
direct
0.0000 0.0000 0.0776 Ba
0.0000 0.0000 0.4157 Ba
0.0000 0.0000 0.5843 Ba
0.0000 0.0000 0.9224 Ba
0.5000 0.5000 0.0000 Ti
0.0000 0.5000 0.2484 Nb
0.0000 0.5000 0.7516 Nb
0.5000 0.0000 0.2484 Nb
0.5000 0.0000 0.7516 Nb
0.5000 0.5000 0.1650 Nb
0.5000 0.5000 0.3308 Nb
0.5000 0.5000 0.5000 Nb
0.5000 0.5000 0.6692 Nb
0.5000 0.5000 0.8350 Nb
0.0000 0.0000 0.2489 O
0.0000 0.0000 0.7511 O
0.0000 0.5000 0.0000 O
0.0000 0.5000 0.1626 O
0.0000 0.5000 0.3352 O
0.0000 0.5000 0.5000 O
0.0000 0.5000 0.6648 O
0.0000 0.5000 0.8374 O
0.5000 0.0000 0.0000 O
0.5000 0.0000 0.1626 O
0.5000 0.0000 0.3352 O
0.5000 0.0000 0.5000 O
0.5000 0.0000 0.6648 O
0.5000 0.0000 0.8374 O
0.5000 0.5000 0.0792 O
0.5000 0.5000 0.4188 O
0.5000 0.5000 0.5812 O
0.5000 0.5000 0.9208 O
```